Crystalline PaVB2O8 at its relaxed geometry, computed with GGA+U.

## Properties
- Total DFT energy (no corrections): -0.6011 Ry/atom

abc: 4.8143 4.8143 6.2535
angles: 90.00 90.00 120.00
Fractional positions:
Pa: 0.0000 0.0000 0.5000
V: 0.0000 0.0000 0.0000
B: 0.6667 0.3333 0.2774
B: 0.3333 0.6667 0.7226
O: 0.8313 0.1687 0.1960
O: 0.8313 0.6627 0.1960
O: 0.3373 0.1687 0.1960
O: 0.6627 0.8313 0.8040
O: 0.3333 0.6667 0.4939
O: 0.6667 0.3333 0.5061
O: 0.1687 0.8313 0.8040
O: 0.1687 0.3373 0.8040